(1)
First-principles (GGA-PBE) data for a geometry-optimized AcGeS3 structure, as listed in Alexandria via LeMat-Bulk.

a = 4.8148 Å, b = 4.8148 Å, c = 4.8148 Å
α = 90.00°, β = 90.00°, γ = 90.00°
Closest atoms and distances in Å follow each position.
Element x y z (fractional)
Ac  0.0000  0.0000  0.0000  12 S 3.40
Ge  0.5000  0.5000  0.5000  6 S 2.41
S  0.0000  0.5000  0.5000  2 Ge 2.41
S  0.5000  0.0000  0.5000  2 Ge 2.41
S  0.5000  0.5000  0.0000  2 Ge 2.41

Computed properties:
Size of the total moment ... 0.000 μB/atom
Space group ... No. 221
Energy relative to the lowest polymorph listed for this composition ... 212.9 meV/atom
Crystal system ... cubic

(2)
First-principles (GGA-PBE) data for a geometry-optimized AcGe2S6 structure, as listed in Alexandria via LeMat-Bulk.

a = 8.5817 Å, b = 8.5817 Å, c = 6.5880 Å
α = 102.94°, β = 102.94°, γ = 84.40°
Closest atoms and distances in Å follow each position.
Element x y z (fractional)
Ac  0.1639  0.8361  0.7500  6 S 3.00-3.09
Ac  0.8361  0.1639  0.2500  6 S 3.00-3.09
Ge  0.2282  0.3593  0.7873  4 S 2.19-2.32
Ge  0.3593  0.2282  0.2873  4 S 2.19-2.32
Ge  0.6407  0.7718  0.7127  4 S 2.19-2.32
Ge  0.7718  0.6407  0.2127  4 S 2.19-2.32
S  0.0545  0.1712  0.6758  1 Ge 2.19
S  0.1356  0.5736  0.9912  1 Ge 2.21
S  0.1712  0.0545  0.1758  1 Ge 2.19
S  0.2733  0.4539  0.5111  2 Ge 2.27-2.32
S  0.4264  0.8644  0.5088  1 Ge 2.21
S  0.4539  0.2733  0.0111  2 Ge 2.27-2.32
S  0.5461  0.7267  0.9889  2 Ge 2.27-2.32
S  0.5736  0.1356  0.4912  1 Ge 2.21
S  0.7267  0.5461  0.4889  2 Ge 2.27-2.32
S  0.8288  0.9455  0.8242  1 Ge 2.19
S  0.8644  0.4264  0.0088  1 Ge 2.21
S  0.9455  0.8288  0.3242  1 Ge 2.19

Computed properties:
Size of the total moment ... 0.113 μB/atom
Space group ... No. 15
Crystal system ... monoclinic

(3)
First-principles (GGA-PBE) data for a geometry-optimized Ac6GeS12 structure, as listed in Alexandria via LeMat-Bulk.

a = 8.3227 Å, b = 8.3227 Å, c = 8.3227 Å
α = 98.70°, β = 98.70°, γ = 98.70°
Closest atoms and distances in Å follow each position.
Element x y z (fractional)
Ac  0.1202  0.6361  0.7904  7 S 2.93-3.10
Ac  0.2096  0.8798  0.3639  7 S 2.93-3.10
Ac  0.3639  0.2096  0.8798  7 S 2.93-3.10
Ac  0.6361  0.7904  0.1202  7 S 2.93-3.10
Ac  0.7904  0.1202  0.6361  7 S 2.93-3.10
Ac  0.8798  0.3639  0.2096  7 S 2.93-3.10
Ge  0.5000  0.5000  0.5000  6 S 2.49
S  0.0521  0.3219  0.9140  4 Ac 2.93-3.03
S  0.0860  0.9479  0.6781  4 Ac 2.93-3.03
S  0.2041  0.5295  0.4445  1 Ge 2.49
S  0.3219  0.9140  0.0521  4 Ac 2.93-3.03
S  0.4445  0.2041  0.5295  1 Ge 2.49
S  0.4705  0.5555  0.7959  1 Ge 2.49
S  0.5295  0.4445  0.2041  1 Ge 2.49
S  0.5555  0.7959  0.4705  1 Ge 2.49
S  0.6781  0.0860  0.9479  4 Ac 2.93-3.03
S  0.7959  0.4705  0.5555  1 Ge 2.49
S  0.9140  0.0521  0.3219  4 Ac 2.93-3.03
S  0.9479  0.6781  0.0860  4 Ac 2.93-3.03

Computed properties:
Size of the total moment ... 0.055 μB/atom
Space group ... No. 148
Crystal system ... trigonal

(4)
First-principles (GGA-PBE) data for a geometry-optimized Ac2GeS6 structure, as listed in Alexandria via LeMat-Bulk.

a = 6.4091 Å, b = 6.4091 Å, c = 12.7920 Å
α = 90.00°, β = 90.00°, γ = 90.00°
Closest atoms and distances in Å follow each position.
Element x y z (fractional)
Ac  0.0000  0.0000  0.1683  6 S 2.93-3.02
Ac  0.0000  0.0000  0.8317  6 S 2.93-3.02
Ac  0.5000  0.5000  0.3317  6 S 2.93-3.02
Ac  0.5000  0.5000  0.6683  6 S 2.93-3.02
Ge  0.0000  0.0000  0.5000  6 S 2.40-2.41
Ge  0.5000  0.5000  0.0000  6 S 2.40-2.41
S  0.1799  0.1799  0.3627  1 Ge 2.40
S  0.1799  0.1799  0.6373  1 Ge 2.40
S  0.2343  0.2343  0.0000  1 Ge 2.41
S  0.2657  0.7343  0.5000  1 Ge 2.41
S  0.3201  0.6799  0.1373  1 Ge 2.40
S  0.3201  0.6799  0.8627  1 Ge 2.40
S  0.6799  0.3201  0.1373  1 Ge 2.40
S  0.6799  0.3201  0.8627  1 Ge 2.40
S  0.7343  0.2657  0.5000  1 Ge 2.41
S  0.7657  0.7657  0.0000  1 Ge 2.41
S  0.8201  0.8201  0.3627  1 Ge 2.40
S  0.8201  0.8201  0.6373  1 Ge 2.40

Computed properties:
Size of the total moment ... 0.000 μB/atom
Space group ... No. 136
Crystal system ... tetragonal

(5)
First-principles (GGA-PBE) data for a geometry-optimized Ac6Ge3SbS2 structure, as listed in Alexandria via LeMat-Bulk.

a = 10.2117 Å, b = 10.2117 Å, c = 9.1874 Å
α = 103.24°, β = 103.24°, γ = 25.66°
Closest atoms and distances in Å follow each position.
Element x y z (fractional)
Ac  0.0021  0.0021  0.2617  3 Ge 3.16-3.26, 1 S 3.23, 2 Sb 3.30
Ac  0.3284  0.3284  0.9141  3 Ge 3.14-3.26, 2 S 3.24, 1 Sb 3.32
Ac  0.3329  0.3329  0.4178  3 S 3.17-3.20, 3 Ge 3.21-3.23
Ac  0.6671  0.6671  0.5822  3 S 3.17-3.20, 3 Ge 3.21-3.23
Ac  0.6716  0.6716  0.0859  3 Ge 3.14-3.26, 2 S 3.24, 1 Sb 3.32
Ac  0.9979  0.9979  0.7383  3 Ge 3.16-3.26, 1 S 3.23, 2 Sb 3.30
Ge  0.1661  0.1661  0.8288  6 Ac 3.14-3.26
Ge  0.5000  0.5000  0.5000  6 Ac 3.16-3.23
Ge  0.8339  0.8339  0.1712  6 Ac 3.14-3.26
Sb  0.5000  0.5000  0.0000  6 Ac 3.30-3.32
S  0.1691  0.1691  0.3371  6 Ac 3.17-3.24
S  0.8309  0.8309  0.6629  6 Ac 3.17-3.24

Computed properties:
Size of the total moment ... 0.000 μB/atom
Space group ... No. 12
Crystal system ... monoclinic

(6)
First-principles (GGA-PBE) data for a geometry-optimized Ac4GeSb2S structure, as listed in Alexandria via LeMat-Bulk.

a = 8.0016 Å, b = 4.6463 Å, c = 8.0778 Å
α = 90.00°, β = 109.43°, γ = 90.00°
Closest atoms and distances in Å follow each position.
Element x y z (fractional)
Ac  0.2444  0.0000  0.2349  2 Ge 3.22, 1 S 3.22, 3 Sb 3.35
Ac  0.2513  0.5000  0.7642  1 Ge 3.20, 2 S 3.23, 3 Sb 3.34-3.37
Ac  0.7487  0.5000  0.2358  1 Ge 3.20, 2 S 3.23, 3 Sb 3.34-3.37
Ac  0.7556  0.0000  0.7651  2 Ge 3.22, 1 S 3.22, 3 Sb 3.35
Ge  0.0000  0.5000  0.0000  6 Ac 3.20-3.22
Sb  0.0000  0.0000  0.5000  6 Ac 3.34-3.35
Sb  0.5000  0.5000  0.5000  6 Ac 3.35-3.37
S  0.5000  0.0000  0.0000  6 Ac 3.22-3.23

Computed properties:
Size of the total moment ... 0.000 μB/atom
Space group ... No. 10
Crystal system ... monoclinic

(7)
First-principles (GGA-PBE) data for a geometry-optimized Ac6GeSe3S2 structure, as listed in Alexandria via LeMat-Bulk.

a = 7.6605 Å, b = 7.6605 Å, c = 7.7840 Å
α = 99.42°, β = 99.42°, γ = 119.99°
Closest atoms and distances in Å follow each position.
Element x y z (fractional)
Ac  0.0864  0.4210  0.7629  2 S 3.09, 1 Ge 3.10, 3 Se 3.21
Ac  0.2440  0.2440  0.2368  2 S 3.09, 1 Ge 3.10, 3 Se 3.19-3.20
Ac  0.4210  0.0864  0.7629  2 S 3.09, 1 Ge 3.10, 3 Se 3.21
Ac  0.5790  0.9136  0.2371  2 S 3.09, 1 Ge 3.10, 3 Se 3.21
Ac  0.7560  0.7560  0.7632  2 S 3.09, 1 Ge 3.10, 3 Se 3.19-3.20
Ac  0.9136  0.5790  0.2371  2 S 3.09, 1 Ge 3.10, 3 Se 3.21
Ge  0.5000  0.5000  0.0000  6 Ac 3.10
Se  0.0000  0.0000  0.5000  6 Ac 3.19-3.21
Se  0.3347  0.6653  0.5000  6 Ac 3.20-3.21
Se  0.6653  0.3347  0.5000  6 Ac 3.20-3.21
S  0.1670  0.8330  0.0000  6 Ac 3.09
S  0.8330  0.1670  0.0000  6 Ac 3.09

Computed properties:
Size of the total moment ... 0.000 μB/atom
Space group ... No. 12
Crystal system ... monoclinic

(8)
First-principles (GGA-PBE) data for a geometry-optimized Ac6GeSe2S3 structure, as listed in Alexandria via LeMat-Bulk.

a = 7.6680 Å, b = 7.6680 Å, c = 7.6448 Å
α = 99.61°, β = 99.61°, γ = 120.04°
Closest atoms and distances in Å follow each position.
Element x y z (fractional)
Ac  0.0864  0.4133  0.7597  3 S 3.06-3.13, 1 Ge 3.13, 2 Se 3.18-3.19
Ac  0.2412  0.2412  0.2419  3 S 3.07-3.13, 1 Ge 3.12, 2 Se 3.19
Ac  0.4133  0.0864  0.7597  3 S 3.06-3.13, 1 Ge 3.13, 2 Se 3.18-3.19
Ac  0.5867  0.9136  0.2403  3 S 3.06-3.13, 1 Ge 3.13, 2 Se 3.18-3.19
Ac  0.7588  0.7588  0.7581  3 S 3.07-3.13, 1 Ge 3.12, 2 Se 3.19
Ac  0.9136  0.5867  0.2403  3 S 3.06-3.13, 1 Ge 3.13, 2 Se 3.18-3.19
Ge  0.0000  0.0000  0.5000  6 Ac 3.12-3.13
Se  0.3328  0.6672  0.5000  6 Ac 3.18-3.19
Se  0.6672  0.3328  0.5000  6 Ac 3.18-3.19
S  0.1666  0.8334  0.0000  6 Ac 3.06-3.13
S  0.5000  0.5000  0.0000  6 Ac 3.07-3.13
S  0.8334  0.1666  0.0000  6 Ac 3.06-3.13

Computed properties:
Size of the total moment ... 0.000 μB/atom
Space group ... No. 12
Crystal system ... monoclinic

(9)
First-principles (GGA-PBE) data for a geometry-optimized Ac6Ge2Se3S structure, as listed in Alexandria via LeMat-Bulk.

a = 10.1026 Å, b = 10.1026 Å, c = 8.9982 Å
α = 103.21°, β = 103.21°, γ = 25.88°
Closest atoms and distances in Å follow each position.
Element x y z (fractional)
Ac  0.0028  0.0028  0.2450  1 Ge 3.09, 2 S 3.15, 3 Se 3.23-3.24
Ac  0.3307  0.3307  0.4235  3 Ge 3.17-3.19, 3 Se 3.24-3.25
Ac  0.3356  0.3356  0.9110  2 Ge 3.12, 1 S 3.15, 3 Se 3.23-3.24
Ac  0.6644  0.6644  0.0890  2 Ge 3.12, 1 S 3.15, 3 Se 3.23-3.24
Ac  0.6693  0.6693  0.5765  3 Ge 3.17-3.19, 3 Se 3.24-3.25
Ac  0.9972  0.9972  0.7550  1 Ge 3.09, 2 S 3.15, 3 Se 3.23-3.24
Ge  0.1642  0.1642  0.3279  6 Ac 3.09-3.19
Ge  0.8358  0.8358  0.6721  6 Ac 3.09-3.19
Se  0.1663  0.1663  0.8338  6 Ac 3.23-3.25
Se  0.5000  0.5000  0.5000  6 Ac 3.23-3.24
Se  0.8337  0.8337  0.1662  6 Ac 3.23-3.25
S  0.5000  0.5000  0.0000  6 Ac 3.15

Computed properties:
Size of the total moment ... 0.000 μB/atom
Space group ... No. 12
Crystal system ... monoclinic

(10)
First-principles (GGA-PBE) data for a geometry-optimized Ac6Ge3SeS2 structure, as listed in Alexandria via LeMat-Bulk.

a = 10.0701 Å, b = 10.0701 Å, c = 9.0005 Å
α = 102.20°, β = 102.20°, γ = 26.02°
Closest atoms and distances in Å follow each position.
Element x y z (fractional)
Ac  0.9999  0.9999  0.2429  3 Ge 3.15-3.18, 1 S 3.20, 2 Se 3.24
Ac  0.0001  0.0001  0.7571  3 Ge 3.15-3.18, 1 S 3.20, 2 Se 3.24
Ac  0.3305  0.3305  0.4168  3 Ge 3.15-3.19, 2 S 3.21, 1 Se 3.25
Ac  0.3337  0.3337  0.9160  3 Ge 3.18-3.19, 3 S 3.19-3.20
Ac  0.6663  0.6663  0.0840  3 Ge 3.18-3.19, 3 S 3.19-3.20
Ac  0.6695  0.6695  0.5832  3 Ge 3.15-3.19, 2 S 3.21, 1 Se 3.25
Ge  0.1660  0.1660  0.3319  6 Ac 3.15-3.19
Ge  0.5000  0.5000  0.0000  6 Ac 3.15-3.19
Ge  0.8340  0.8340  0.6681  6 Ac 3.15-3.19
Se  0.5000  0.5000  0.5000  6 Ac 3.24-3.25
S  0.1672  0.1672  0.8338  6 Ac 3.19-3.21
S  0.8328  0.8328  0.1662  6 Ac 3.19-3.21

Computed properties:
Size of the total moment ... 0.000 μB/atom
Space group ... No. 12
Crystal system ... monoclinic

Uncorrected formation energy, record by record: -1.0721 -0.6761 -1.6248 -0.8719 -1.1966 -1.2847 -1.7729 -1.7890 -1.5781 -1.3722 eV/atom